(1)
The following is a DFT calculation (PBE-GGA) of a relaxed structure of ScTa2Ag.

```
ScTa2Ag
1.0
-0.948 -0.836 -3.702
3.555 -1.531 -0.565
-2.278 -10.622 0.917
Ta Ag Sc
4 2 2
direct
0.375 0.378 0.750
0.128 0.625 0.250
0.622 0.125 0.250
0.875 0.872 0.750
0.750 0.250 0.500
0.000 0.000 0.000
0.500 0.500 0.000
0.250 0.750 0.500
```

The value obtained for the energy above the most stable polymorph in this dataset is 462 meV/atom. For the energy of formation from the pure elements, the calculation gives 0.561 eV per atom. Its total DFT energy (no corrections) is -7.66 eV per atom. The density comes out at 10.594 g/cm³.

(2)
The following is a DFT calculation (PBE-GGA) of a relaxed structure of Zn2Sn2Bi.

```
Zn2Sn2Bi
1.0
4.528 0.000 0.000
0.000 4.528 0.000
2.264 2.264 6.012
Zn Bi Sn
2 1 2
direct
0.400 0.400 0.201
0.600 0.600 0.799
0.000 0.000 0.000
0.250 0.750 0.500
0.750 0.250 0.500
```

The value obtained for the energy above the most stable polymorph in this dataset is 49 meV/atom. For the energy of formation from the pure elements, the calculation gives 0.160 eV per atom. Its total DFT energy (no corrections) is -2.73 eV per atom. The density comes out at 7.777 g/cm³.

(3)
The following is a DFT calculation (PBE-GGA) of a relaxed structure of HgBi2Au.

```
HgBi2Au
1.0
-3.192 0.657 3.020
3.447 -6.046 1.701
4.751 3.884 4.177
Au Bi Hg
2 4 2
direct
0.186 0.377 0.250
0.814 0.623 0.750
0.358 0.712 0.002
0.642 0.288 0.502
0.358 0.712 0.498
0.642 0.288 0.998
0.974 0.947 0.250
0.026 0.053 0.750
```

For the energy of formation from the pure elements, the calculation gives -0.009 eV per atom. Its total DFT energy (no corrections) is -2.84 eV per atom. The density comes out at 12.051 g/cm³.

(4)
The following is a DFT calculation (PBE-GGA) of a relaxed structure of Sr3Cd4Ag2.

```
Sr3Cd4Ag2
1.0
4.801 0.000 1.281
2.000 5.760 2.141
0.009 0.105 9.603
Ag Cd Sr
2 4 3
direct
0.401 0.929 0.268
0.599 0.071 0.732
0.276 0.387 0.062
0.961 0.705 0.372
0.039 0.295 0.628
0.724 0.613 0.938
0.000 0.000 0.000
0.675 0.304 0.345
0.325 0.696 0.655
```

The value obtained for the energy above the most stable polymorph in this dataset is 0 meV/atom. For the energy of formation from the pure elements, the calculation gives -0.312 eV per atom. Its total DFT energy (no corrections) is -1.91 eV per atom. The density comes out at 5.824 g/cm³.

(5)
The following is a DFT calculation (PBE-GGA) of a relaxed structure of ZrNbAl6.

```
ZrNbAl6
1.0
3.900 0.000 0.000
0.000 3.900 0.000
0.000 0.000 8.850
Zr Al Nb
1 6 1
direct
0.500 0.500 0.500
0.500 0.500 0.000
0.500 0.000 0.244
0.000 0.500 0.756
0.000 0.500 0.244
0.000 0.000 0.500
0.500 0.000 0.756
0.000 0.000 0.000
```

For the energy of formation from the pure elements, the calculation gives -0.444 eV per atom. Its total DFT energy (no corrections) is -5.58 eV per atom. The density comes out at 4.269 g/cm³.

(6)
The following is a DFT calculation (PBE-GGA) of a relaxed structure of Pm4Ni2H.

```
Pm4Ni2H
1.0
3.782 0.000 0.000
0.000 8.166 -0.236
-1.891 -4.302 5.147
Pm H Ni
4 1 2
direct
0.666 0.261 0.332
0.334 0.739 0.668
0.087 0.790 0.174
0.913 0.210 0.826
0.000 0.000 0.000
0.377 0.430 0.754
0.623 0.570 0.246
```

The value obtained for the energy above the most stable polymorph in this dataset is 0 meV/atom. Its total DFT energy (no corrections) is -5.16 eV per atom. The density comes out at 7.476 g/cm³.